(1)
DFT (PBE) results for an optimized crystal structure of BaTlZnCl5.

Calculated values
- formation energy from raw total energies (kJ per mole of atoms) = -156
- V (Å³ per atom) = 36.4
- total moment (Bohr magnetons per cell) = 0.0
- calculated total energy (eV/atom) = -3.4646

Geometry as CIF:
```
data_BaTlZnCl5
_chemical_formula_sum 'Ba4 Tl4 Zn4 Cl20'
_cell_length_a 9.3840
_cell_length_b 12.5224
_cell_length_c 10.6970
_cell_angle_alpha 90.00
_cell_angle_beta 112.14
_cell_angle_gamma 90.00
_space_group_name_H-M_alt 'C 1 2/c 1'
_space_group_IT_number 15
_space_group_name_Hall '-C 2yc'
loop_
_atom_site_label
_atom_site_fract_x
_atom_site_fract_y
_atom_site_fract_z
Ba1 0.0000 0.0000 0.0000
Tl1 0.0000 0.3518 0.2500
Zn1 0.0000 0.3175 0.7500
Cl1 0.0000 0.1091 0.2500
Cl2 0.1342 0.2096 0.6579
Cl3 0.1558 0.4266 0.9200
```



(2)
DFT (PBE) results for an optimized crystal structure of BaTmCl5.

Calculated values
- formation energy from raw total energies (kJ per mole of atoms) = -227
- V (Å³ per atom) = 26.0
- total moment (Bohr magnetons per cell) = 0.0
- calculated total energy (eV/atom) = -4.5826

Geometry as CIF:
```
data_BaTmCl5
_chemical_formula_sum 'Ba4 Tm4 Cl20'
_cell_length_a 5.5680
_cell_length_b 19.1883
_cell_length_c 6.8168
_cell_angle_alpha 90.00
_cell_angle_beta 92.92
_cell_angle_gamma 90.00
_space_group_name_H-M_alt 'C 1 2/c 1'
_space_group_IT_number 15
_space_group_name_Hall '-C 2yc'
loop_
_atom_site_label
_atom_site_fract_x
_atom_site_fract_y
_atom_site_fract_z
Ba1 0.0000 0.1709 0.2500
Tm1 0.0000 0.4242 0.2500
Cl1 0.0000 0.1265 0.7500
Cl2 0.0078 0.3148 0.0010
Cl3 0.2404 0.4702 0.5925
```



(3)
DFT (PBE) results for an optimized crystal structure of BaUCl6.

Calculated values
- formation energy from raw total energies (kJ per mole of atoms) = -194
- V (Å³ per atom) = 36.4
- E above lowest polymorph (eV per formula unit) = 0.00
- total moment (Bohr magnetons per cell) = 2.0
- calculated total energy (eV/atom) = -5.0520

Geometry as CIF:
```
data_BaUCl6
_chemical_formula_sum 'Ba1 U1 Cl6'
_cell_length_a 7.1133
_cell_length_b 7.1191
_cell_length_c 7.8026
_cell_angle_alpha 62.91
_cell_angle_beta 62.88
_cell_angle_gamma 60.03
_space_group_name_H-M_alt 'P -1'
_space_group_IT_number 2
_space_group_name_Hall '-P 1'
loop_
_atom_site_label
_atom_site_fract_x
_atom_site_fract_y
_atom_site_fract_z
Ba1 0.0000 0.0000 0.0000
U1 0.5000 0.5000 0.5000
Cl1 0.1156 0.4360 0.7309
Cl2 0.2823 0.8845 0.2690
Cl3 0.4362 0.7173 0.7309
```



(4)
DFT (PBE) results for an optimized crystal structure of BaUCl6.

Calculated values
- formation energy from raw total energies (kJ per mole of atoms) = -193
- V (Å³ per atom) = 38.9
- E above lowest polymorph (eV per formula unit) = 0.09
- total moment (Bohr magnetons per cell) = 4.0
- calculated total energy (eV/atom) = -5.0409

Geometry as CIF:
```
data_BaUCl6
_chemical_formula_sum 'Ba2 U2 Cl12'
_cell_length_a 11.8492
_cell_length_b 8.2098
_cell_length_c 7.4143
_cell_angle_alpha 90.00
_cell_angle_beta 120.39
_cell_angle_gamma 90.00
_space_group_name_H-M_alt 'C 1 2/m 1'
_space_group_IT_number 12
_space_group_name_Hall '-C 2y'
loop_
_atom_site_label
_atom_site_fract_x
_atom_site_fract_y
_atom_site_fract_z
Ba1 0.0000 0.0000 0.0000
U1 0.0000 0.5000 0.5000
Cl1 0.0739 0.2754 0.7920
Cl2 0.2396 0.5000 0.5647
```



(5)
DFT (PBE) results for an optimized crystal structure of Ba2UCl8.

Calculated values
- formation energy from raw total energies (kJ per mole of atoms) = -204
- V (Å³ per atom) = 29.3
- total moment (Bohr magnetons per cell) = 4.0
- calculated total energy (eV/atom) = -4.8309

Geometry as CIF:
```
data_Ba2UCl8
_chemical_formula_sum 'Ba4 U2 Cl16'
_cell_length_a 20.4628
_cell_length_b 4.8797
_cell_length_c 6.6401
_cell_angle_alpha 90.00
_cell_angle_beta 103.37
_cell_angle_gamma 90.00
_space_group_name_H-M_alt 'C 1 2/m 1'
_space_group_IT_number 12
_space_group_name_Hall '-C 2y'
loop_
_atom_site_label
_atom_site_fract_x
_atom_site_fract_y
_atom_site_fract_z
Ba1 0.1673 0.0000 0.1614
U1 0.0000 0.5000 0.5000
Cl1 0.0191 0.0000 0.2910
Cl2 0.0839 0.5000 0.8810
Cl3 0.1244 0.5000 0.4289
Cl4 0.2334 0.0000 0.7727
```



(6)
DFT (PBE) results for an optimized crystal structure of BaU2Cl11.

Calculated values
- formation energy from raw total energies (kJ per mole of atoms) = -176
- V (Å³ per atom) = 36.0
- total moment (Bohr magnetons per cell) = 12.0
- calculated total energy (eV/atom) = -5.0237

Geometry as CIF:
```
data_BaU2Cl11
_chemical_formula_sum 'Ba4 U8 Cl44'
_cell_length_a 12.0515
_cell_length_b 12.0683
_cell_length_c 13.8772
_cell_angle_alpha 90.00
_cell_angle_beta 90.00
_cell_angle_gamma 90.00
_space_group_name_H-M_alt 'I b a m'
_space_group_IT_number 72
_space_group_name_Hall '-I 2 2c'
loop_
_atom_site_label
_atom_site_fract_x
_atom_site_fract_y
_atom_site_fract_z
Ba1 0.0000 0.0000 0.2500
U1 0.1614 0.3388 0.0000
Cl1 0.0000 0.5000 0.0000
Cl2 0.0588 0.2266 0.1312
Cl3 0.1932 0.3042 0.5000
Cl4 0.2279 0.0572 0.3688
```



(7)
DFT (PBE) results for an optimized crystal structure of Ba2VCl6.

Calculated values
- formation energy from raw total energies (kJ per mole of atoms) = -200
- V (Å³ per atom) = 28.9
- total moment (Bohr magnetons per cell) = 6.0
- calculated total energy (eV/atom) = -4.7479

Geometry as CIF:
```
data_Ba2VCl6
_chemical_formula_sum 'Ba4 V2 Cl12'
_cell_length_a 6.7576
_cell_length_b 7.9258
_cell_length_c 11.6751
_cell_angle_alpha 90.00
_cell_angle_beta 123.80
_cell_angle_gamma 90.00
_space_group_name_H-M_alt 'P 1 21/c 1'
_space_group_IT_number 14
_space_group_name_Hall '-P 2ybc'
loop_
_atom_site_label
_atom_site_fract_x
_atom_site_fract_y
_atom_site_fract_z
Ba1 0.2189 0.1028 0.2560
V1 0.5000 0.0000 0.0000
Cl1 0.1462 0.1609 0.9550
Cl2 0.2951 0.7173 0.9504
Cl3 0.3450 0.0212 0.7524
```



(8)
DFT (PBE) results for an optimized crystal structure of Ba2VCl2.

Calculated values
- formation energy from raw total energies (kJ per mole of atoms) = -83
- V (Å³ per atom) = 38.3
- E above lowest polymorph (eV per formula unit) = 0.00
- total moment (Bohr magnetons per cell) = 10.0
- calculated total energy (eV/atom) = -4.1957

Geometry as CIF:
```
data_Ba2VCl2
_chemical_formula_sum 'Ba4 V2 Cl4'
_cell_length_a 4.8662
_cell_length_b 4.8662
_cell_length_c 16.1916
_cell_angle_alpha 90.00
_cell_angle_beta 90.00
_cell_angle_gamma 90.00
_space_group_name_H-M_alt 'I 4/m m m'
_space_group_IT_number 139
_space_group_name_Hall '-I 4 2'
loop_
_atom_site_label
_atom_site_fract_x
_atom_site_fract_y
_atom_site_fract_z
Ba1 0.0000 0.0000 0.1309
V1 0.0000 0.0000 0.5000
Cl1 0.0000 0.5000 0.2500
```



(9)
DFT (PBE) results for an optimized crystal structure of Ba2VCl2.

Calculated values
- formation energy from raw total energies (kJ per mole of atoms) = -71
- V (Å³ per atom) = 32.3
- E above lowest polymorph (eV per formula unit) = 0.64
- total moment (Bohr magnetons per cell) = 10.0
- calculated total energy (eV/atom) = -4.0682

Geometry as CIF:
```
data_Ba2VCl2
_chemical_formula_sum 'Ba4 V2 Cl4'
_cell_length_a 9.2137
_cell_length_b 9.2137
_cell_length_c 3.8015
_cell_angle_alpha 90.00
_cell_angle_beta 90.00
_cell_angle_gamma 90.00
_space_group_name_H-M_alt 'P 4/m b m'
_space_group_IT_number 127
_space_group_name_Hall '-P 4 2ab'
loop_
_atom_site_label
_atom_site_fract_x
_atom_site_fract_y
_atom_site_fract_z
Ba1 0.1757 0.3243 0.0000
V1 0.0000 0.0000 0.0000
Cl1 0.1237 0.6237 0.5000
```



(10)
DFT (PBE) results for an optimized crystal structure of BaVCl2.

Calculated values
- formation energy from raw total energies (kJ per mole of atoms) = -70
- V (Å³ per atom) = 31.2
- E above lowest polymorph (eV per formula unit) = 0.54
- total moment (Bohr magnetons per cell) = 9.4
- calculated total energy (eV/atom) = -4.4071

Geometry as CIF:
```
data_BaVCl2
_chemical_formula_sum 'Ba3 V3 Cl6'
_cell_length_a 4.0999
_cell_length_b 4.0999
_cell_length_c 25.7507
_cell_angle_alpha 90.00
_cell_angle_beta 90.00
_cell_angle_gamma 120.00
_space_group_name_H-M_alt 'R -3 m'
_space_group_IT_number 166
_space_group_name_Hall '-R 3 2"'
loop_
_atom_site_label
_atom_site_fract_x
_atom_site_fract_y
_atom_site_fract_z
Ba1 0.0000 0.0000 0.0000
V1 0.0000 0.0000 0.5000
Cl1 0.0000 0.0000 0.1216
```